Entry 1:
This record from the Alexandria database describes crystalline NiRh2Pb at its relaxed geometry. The functional is GGA-PBE.

a = 4.6729 Å, b = 4.6729 Å, c = 4.6729 Å
α = 127.24°, β = 127.24°, γ = 77.86°
With the nearest neighbours (Å) after each atom.
Fractional coordinates of all 4 atoms:
1 Ni 0.0000 0.0000 0.0000  8 Rh 2.76, 4 Pb 2.94
2 Rh 0.2500 0.7500 0.5000  4 Pb 2.76, 4 Ni 2.76, 4 Rh 2.94
3 Rh 0.7500 0.2500 0.5000  4 Pb 2.76, 4 Ni 2.76, 4 Rh 2.94
4 Pb 0.5000 0.5000 0.0000  8 Rh 2.76, 4 Ni 2.94

## Properties
symmetry	I4/mmm (139)



Entry 2:
This record from the Alexandria database describes crystalline Ni2RhPb at its relaxed geometry. The functional is GGA-PBE.

a = 8.5149 Å, b = 8.5149 Å, c = 8.5149 Å
α = 20.20°, β = 20.20°, γ = 20.20°
With the nearest neighbours (Å) after each atom.
Fractional coordinates of all 4 atoms:
1 Ni 0.2437 0.2437 0.2437  3 Rh 2.59, 3 Pb 2.83
2 Ni 0.7563 0.7563 0.7563  3 Rh 2.59, 3 Pb 2.83
3 Rh 0.5000 0.5000 0.5000  6 Ni 2.59
4 Pb 0.0000 0.0000 0.0000  6 Ni 2.83, 6 Pb 2.99

## Properties
symmetry	R-3m (166)



Number 1: energy of formation 0.07 eV per atom. Number 2: energy of formation 0.51 eV per atom.